4
Lattice="0.000 3.512 3.512 3.512 0.000 3.512 3.512 3.512 0.000" Properties=species:S:1:pos:R:3 comment="PBE LiTbErPt, relaxed" sg=F-43m e_form_mev_per_atom=-674 pbc="T T T"
Li 0.000 0.000 0.000
Tb 1.756 1.756 1.756
Er 5.268 5.268 5.268
Pt 3.512 3.512 3.512

15
Lattice="3.688 2.129 6.499 -3.688 2.129 6.499 0.000 -4.258 6.499" Properties=species:S:1:pos:R:3 comment="PBE Ho8C3Se3N, relaxed" sg=R-3m e_form_raw_mev_per_atom=-1147 pbc="T T T"
Ho -1.858 -1.073 11.062
Ho 0.000 0.000 4.572
Ho 0.000 -2.146 8.436
Ho -1.858 1.073 8.436
Ho 1.858 -1.073 11.062
Ho 0.000 2.146 11.062
Ho 0.000 0.000 14.926
Ho 1.858 1.073 8.436
C -3.688 0.000 9.749
C -1.844 1.065 3.250
C 1.844 1.065 3.250
Se -1.844 -1.065 6.499
Se -1.844 1.065 12.999
Se 0.000 2.129 6.499
N 0.000 0.000 9.749

29
Lattice="5.314 -7.517 0.000 5.314 7.517 0.000 -5.302 0.000 7.508" Properties=species:S:1:pos:R:3 comment="PBE Mg17Al11Pb, relaxed" sg=Cm e_form_mev_per_atom=-17 pbc="T T T"
Mg 0.000 0.000 0.000
Mg 3.382 4.544 0.163
Mg -2.853 0.000 4.680
Mg 0.387 5.086 5.601
Mg 3.664 2.637 2.490
Mg 1.815 0.000 2.518
Mg 0.332 2.391 7.083
Mg 3.401 4.494 4.920
Mg 0.105 0.000 5.146
Mg 3.382 -4.544 0.163
Mg 6.797 2.249 2.525
Mg 0.332 -2.391 7.083
Mg 3.664 -2.637 2.490
Mg 7.603 0.000 0.437
Mg 0.387 -5.086 5.601
Mg 3.401 -4.494 4.920
Mg 6.797 -2.249 2.525
Al -2.531 1.410 7.289
Al 4.240 6.158 2.559
Al 0.900 2.738 3.937
Al -2.531 -1.410 7.289
Al 6.180 4.780 1.163
Al 4.775 0.000 0.950
Al 2.761 1.412 5.355
Al 0.900 -2.738 3.937
Al 2.761 -1.412 5.355
Al 6.180 -4.780 1.163
Al 4.240 -6.158 2.559
Pb 4.903 0.000 3.843

4
Lattice="-2.240 2.667 6.064 2.240 -2.667 6.064 2.240 2.667 -6.064" Properties=species:S:1:pos:R:3 comment="PBE Ba2CrSb, relaxed" sg=Imm2 e_form_raw_mev_per_atom=-145 pbc="T T T"
Ba 0.000 0.000 0.000
Ba 0.000 2.667 2.608
Cr 2.240 0.000 3.524
Sb 0.000 0.000 5.268

12
Lattice="3.401 -5.930 0.000 3.401 5.930 0.000 0.000 0.000 7.292" Properties=species:S:1:pos:R:3 comment="PBE TbErFe, relaxed" sg=Cmce e_form_mev_per_atom=43 pbc="T T T"
Tb 3.401 3.588 6.465
Tb 3.401 2.342 2.819
Tb 3.401 -2.342 4.473
Tb 3.401 -3.588 0.827
Er 1.700 0.519 5.469
Er 1.700 -0.519 1.823
Er 5.101 0.519 5.469
Er 5.101 -0.519 1.823
Fe 3.401 4.838 3.961
Fe 3.401 1.093 0.315
Fe 3.401 -1.093 6.976
Fe 3.401 -4.838 3.330

4
Lattice="2.702 0.000 0.000 0.000 4.198 0.000 -0.963 0.000 4.975" Properties=species:S:1:pos:R:3 comment="PBE TaCr2Os, relaxed" sg=P2/m e_form_mev_per_atom=78 pbc="T T T"
Ta 0.000 0.000 0.000
Cr -0.107 2.099 3.668
Cr 1.847 2.099 1.307
Os 0.870 0.000 2.488

4
Lattice="1.658 0.957 10.151 -1.658 0.957 10.151 0.000 -1.915 10.151" Properties=species:S:1:pos:R:3 comment="PBE CrIn2Sb, relaxed" sg=R3m e_form_raw_mev_per_atom=268 pbc="T T T"
Cr 0.000 0.000 0.000
In 0.000 0.000 15.065
In 0.000 0.000 22.505
Sb 0.000 0.000 8.088

5
Lattice="4.806 0.000 0.000 0.000 4.806 0.000 0.000 0.000 4.806" Properties=species:S:1:pos:R:3 comment="PBE ScGaAg3, relaxed" sg=Pm-3m e_form_mev_per_atom=269 pbc="T T T"
Sc 0.000 0.000 0.000
Ga 2.403 2.403 2.403
Ag 0.000 2.403 2.403
Ag 2.403 0.000 2.403
Ag 2.403 2.403 0.000

4
Lattice="-1.460 1.460 7.938 1.460 -1.460 7.938 1.460 1.460 -7.938" Properties=species:S:1:pos:R:3 comment="PBE PIrAu2, relaxed" sg=I4mm e_form_mev_per_atom=-107 pbc="T T T"
P 0.000 0.000 0.000
Ir 0.000 0.000 9.155
Au 0.000 0.000 3.419
Au 0.000 0.000 13.469

6
Lattice="4.209 0.000 0.000 -2.104 3.645 0.000 0.000 0.000 3.461" Properties=species:S:1:pos:R:3 comment="PBE Be5Rh, relaxed" sg=P6/mmm e_form_mev_per_atom=-276 pbc="T T T"
Be -1.052 1.822 0.000
Be 0.000 2.430 1.731
Be 2.104 0.000 0.000
Be 1.052 1.822 0.000
Be 2.104 1.215 1.731
Rh 0.000 0.000 1.731

4
Lattice="0.000 3.037 3.037 3.037 0.000 3.037 3.037 3.037 0.000" Properties=species:S:1:pos:R:3 comment="PBE TiCrCu2, relaxed" sg=Fm-3m e_form_mev_per_atom=157 pbc="T T T"
Ti 0.000 0.000 0.000
Cr 3.037 3.037 3.037
Cu 1.519 1.519 1.519
Cu 4.556 4.556 4.556

3
Lattice="5.519 0.000 0.000 -2.760 4.780 0.000 0.000 0.000 4.925" Properties=species:S:1:pos:R:3 comment="PBE CsHg2, relaxed" sg=P6/mmm e_form_mev_per_atom=-263 pbc="T T T"
Cs 0.000 0.000 0.000
Hg 0.000 3.186 2.462
Hg 2.760 1.593 2.462

So what do the calculations give for total magnetization? Going down the list: 0.00 0.02 0.00 1.18 0.25 0.00 0.86 0.00 0.00 0.00 0.96 0.00 μB per atom.